No. 1
The following is a DFT calculation (meta-GGA SCAN) of a crystal of La7Te relaxed with PBEsol.

```
La7Te
1.0
7.039 0.000 0.000
3.519 6.096 0.000
3.519 2.032 5.747
La Te
7 1
Cartesian
7.039 4.064 2.874 La
5.279 1.016 2.874 La
1.760 3.048 0.000 La
1.760 1.016 2.874 La
5.279 3.048 0.000 La
3.519 0.000 0.000 La
3.519 4.064 2.874 La
0.000 0.000 0.000 Te
```

Output
- uncorrected energy (Ry/atom) = -3.140
- SG = Fm-3m (225)

=====

No. 2
The following is a DFT calculation (meta-GGA SCAN) of a crystal of TlCdIrF2 relaxed with PBEsol.

```
TlCdIrF2
1.0
4.232 0.000 0.000
0.000 4.232 0.000
0.000 0.000 5.462
Tl Cd F Ir
1 1 2 1
Cartesian
0.000 0.000 0.000 Tl
2.116 2.116 2.731 Cd
2.116 0.000 0.000 F
0.000 2.116 0.000 F
0.000 0.000 2.731 Ir
```

Output
- uncorrected energy (Ry/atom) = -2.677
- SG = P4/mmm (123)